Entry 1:
A geometry-optimized Pu2PPd6 structure. Source: the Alexandria database, functional GGA-PBE.

The space-group type is P-3m1 (164). The value obtained for the final energy is -7.80 eV/atom. For the distance to the lowest polymorph of the same formula, the calculation gives 0.00 eV/f.u. The calculation puts the formation energy at -0.56 eV/atom.

```
Pu2PPd6
1.0
5.7261 0.0000 0.0000
-2.8631 4.9590 0.0000
0.0000 0.0000 5.6963
Pu P Pd
2 1 6
Cartesian
0.0000 3.3060 0.9802
2.8631 1.6530 4.7161
0.0000 0.0000 0.0000
0.0000 1.7000 3.9781
-1.3908 4.1090 3.9781
1.4722 0.8500 1.7182
1.3908 4.1090 3.9781
4.2539 0.8500 1.7182
2.8631 3.2590 1.7182
```

Entry 2:
A geometry-optimized PuPPd2 structure. Source: the Alexandria database, functional GGA-PBE.

The space-group type is Cmcm (63). The value obtained for the final energy is -8.21 eV/atom. The calculation puts the formation energy at -0.67 eV/atom.

```
PuPPd2
1.0
2.0443 -8.0587 0.0000
2.0443 8.0587 0.0000
0.0000 0.0000 8.8831
Pu P Pd
4 4 8
Cartesian
0.0000 0.0000 0.0000
0.0000 0.0000 4.4416
2.0443 4.9847 6.6623
2.0443 -4.9847 2.2208
2.0443 2.2007 0.1293
2.0443 2.2007 4.3123
2.0443 -2.2007 4.5709
2.0443 -2.2007 8.7538
2.0443 4.7605 0.7250
2.0443 4.7605 3.7165
2.0443 1.7577 6.6623
2.0443 0.9326 2.2208
2.0443 -0.9326 6.6623
2.0443 -1.7577 2.2208
2.0443 -4.7605 5.1666
2.0443 -4.7605 8.1581
```

Entry 3:
A geometry-optimized Pu2PPd structure. Source: the Alexandria database, functional GGA-PBE.

The space-group type is R-3m (166). The value obtained for the final energy is -10.45 eV/atom. For the distance to the lowest polymorph of the same formula, the calculation gives 0.17 eV/f.u. The calculation puts the formation energy at -0.64 eV/atom.

```
Pu2PPd
1.0
3.9182 0.0000 0.0000
-1.9591 3.3933 0.0000
0.0000 0.0000 21.4403
Pu P Pd
6 3 3
Cartesian
0.0000 0.0000 5.2626
0.0000 0.0000 16.1778
0.0000 2.2622 9.0310
0.0000 2.2622 19.5561
1.9591 1.1311 1.8842
1.9591 1.1311 12.4093
0.0000 0.0000 10.7202
0.0000 2.2622 3.5734
1.9591 1.1311 17.8669
0.0000 0.0000 0.0000
0.0000 2.2622 14.2936
1.9591 1.1311 7.1468
```

Entry 4:
A geometry-optimized Pu2PPd6 structure. Source: the Alexandria database, functional GGA-PBE.

The space-group type is C2/m (12). The value obtained for the final energy is -7.80 eV/atom. For the distance to the lowest polymorph of the same formula, the calculation gives 0.02 eV/f.u. The calculation puts the formation energy at -0.55 eV/atom.

```
Pu2PPd6
1.0
4.9234 -2.8503 0.0000
4.9234 2.8503 0.0000
-1.4542 0.0000 5.7824
Pu P Pd
2 1 6
Cartesian
0.8865 0.0000 1.9640
7.5061 0.0000 3.8184
4.1963 0.0000 2.8912
3.3428 1.4516 1.1050
2.5378 0.0000 4.5802
5.0498 1.4516 4.6774
3.3428 -1.4516 1.1050
5.8548 0.0000 1.2022
5.0498 -1.4516 4.6774
```

Entry 5:
A geometry-optimized PuP4Pd6 structure. Source: the Alexandria database, functional GGA-PBE.

The space-group type is P-6m2 (187). The value obtained for the final energy is -6.64 eV/atom. For the distance to the lowest polymorph of the same formula, the calculation gives 0.00 eV/f.u. The calculation puts the formation energy at -0.54 eV/atom.

```
PuP4Pd6
1.0
7.2255 0.0000 0.0000
-3.6128 6.2575 0.0000
0.0000 0.0000 3.8309
Pu P Pd
1 4 6
Cartesian
0.0000 0.0000 0.0000
0.0000 2.2718 1.9154
-1.6454 5.1216 1.9154
1.6454 5.1216 1.9154
3.6128 2.0858 0.0000
-1.4127 3.3560 0.0000
2.1650 1.2500 1.9154
1.4127 3.3560 0.0000
0.0000 5.8029 0.0000
5.0605 1.2500 1.9154
3.6128 3.7576 1.9154
```

Entry 6:
A geometry-optimized PuPPd6 structure. Source: the Alexandria database, functional GGA-PBE.

The space-group type is R-3m (166). The value obtained for the final energy is -6.66 eV/atom. The calculation puts the formation energy at -0.30 eV/atom.

```
PuPPd6
1.0
2.8255 1.6313 5.5844
-2.8255 1.6313 5.5844
0.0000 -3.2626 5.5844
Pu P Pd
1 1 6
Cartesian
0.0000 0.0000 0.0000
0.0000 0.0000 8.3766
-1.4721 -0.8499 6.9259
0.0000 -1.6999 9.8274
-1.4721 0.8499 9.8274
1.4721 -0.8499 6.9259
0.0000 1.6999 6.9259
1.4721 0.8499 9.8274
```

Entry 7:
A geometry-optimized PuPPd2 structure. Source: the Alexandria database, functional GGA-PBE.

The space-group type is P4/nmm (129). The value obtained for the final energy is -8.19 eV/atom. The calculation puts the formation energy at -0.66 eV/atom.

```
PuPPd2
1.0
3.8644 0.0000 0.0000
0.0000 3.8644 0.0000
0.0000 0.0000 9.6568
Pu P Pd
2 2 4
Cartesian
0.9661 0.9661 2.2512
2.8983 2.8983 7.4056
0.9661 0.9661 6.4797
2.8983 2.8983 3.1771
0.9661 0.9661 8.9737
0.9661 2.8983 4.8284
2.8983 0.9661 4.8284
2.8983 2.8983 0.6831
```

Entry 8:
A geometry-optimized Pu2P3PdRh4 structure. Source: the Alexandria database, functional GGA-PBE.

The space-group type is P-4m2 (115). The value obtained for the final energy is -8.73 eV/atom. The calculation puts the formation energy at -0.78 eV/atom.

```
Pu2P3PdRh4
1.0
3.9276 0.0000 0.0000
0.0000 3.9276 0.0000
0.0000 0.0000 10.8554
Pu P Pd Rh
2 3 1 4
Cartesian
0.0000 1.9638 2.6177
1.9638 0.0000 8.2377
0.0000 0.0000 0.0000
0.0000 1.9638 6.7693
1.9638 0.0000 4.0861
1.9638 1.9638 0.0000
0.0000 0.0000 5.4277
0.0000 1.9638 9.0250
1.9638 0.0000 1.8304
1.9638 1.9638 5.4277
```

Entry 9:
A geometry-optimized Pu2P4PdRh3 structure. Source: the Alexandria database, functional GGA-PBE.

The space-group type is P-4m2 (115). The value obtained for the final energy is -8.62 eV/atom. The calculation puts the formation energy at -0.86 eV/atom.

```
Pu2P4PdRh3
1.0
4.1765 0.0000 0.0000
0.0000 4.1765 0.0000
0.0000 0.0000 9.4919
Pu P Pd Rh
2 4 1 3
Cartesian
0.0000 2.0882 2.2869
2.0882 0.0000 7.2049
0.0000 0.0000 0.0000
0.0000 2.0882 6.0966
2.0882 0.0000 3.3953
2.0882 2.0882 0.0000
0.0000 0.0000 4.7459
0.0000 2.0882 8.4392
2.0882 0.0000 1.0527
2.0882 2.0882 4.7459
```

Entry 10:
A geometry-optimized Pu2SbPPd6 structure. Source: the Alexandria database, functional GGA-PBE.

The space-group type is Pmmn (59). The value obtained for the final energy is -7.45 eV/atom. The uncorrected formation energy is -50 kJ per mole of atoms.

```
Pu2SbPPd6
1.0
5.5777 0.0000 0.0000
0.0000 8.7599 0.0000
0.0000 0.0000 8.3901
Pu Sb P Pd
4 2 2 12
Cartesian
1.3944 0.0334 2.0101
1.3944 4.3466 2.0101
4.1833 4.4133 6.3800
4.1833 8.7266 6.3800
1.3944 6.5700 6.5912
4.1833 2.1900 1.7989
1.3944 2.1900 6.1352
4.1833 6.5700 2.2549
0.0087 6.5700 4.2062
0.0305 2.1900 8.0193
1.3944 0.0276 5.1559
1.3944 4.3524 5.1559
2.7583 2.1900 8.0193
2.7801 6.5700 4.2062
2.7976 2.1900 4.1838
2.8194 6.5700 0.3708
4.1833 4.4075 3.2341
4.1833 8.7324 3.2341
5.5472 6.5700 0.3708
5.5690 2.1900 4.1838
```

Entry 11:
A geometry-optimized SmPuP2Pd2 structure. Source: the Alexandria database, functional GGA-PBE.

The space-group type is P-3m1 (164). The value obtained for the final energy is -7.78 eV/atom. The calculation puts the formation energy at -1.07 eV/atom.

```
SmPuP2Pd2
1.0
4.2012 0.0000 0.0000
-2.1006 3.6384 0.0000
0.0000 0.0000 7.7020
Sm Pu P Pd
1 1 2 2
Cartesian
0.0000 0.0000 0.0000
0.0000 0.0000 3.8510
0.0000 2.4256 5.7239
2.1006 1.2128 1.9781
0.0000 2.4256 1.9076
2.1006 1.2128 5.7943
```

Entry 12:
A geometry-optimized TbPuP2Pd2 structure. Source: the Alexandria database, functional GGA-PBE.

The space-group type is P-3m1 (164). The value obtained for the final energy is -7.77 eV/atom. The calculation puts the formation energy at -1.08 eV/atom.

```
TbPuP2Pd2
1.0
4.1886 0.0000 0.0000
-2.0943 3.6274 0.0000
0.0000 0.0000 7.5939
Tb Pu P Pd
1 1 2 2
Cartesian
0.0000 0.0000 0.0000
0.0000 0.0000 3.7969
0.0000 2.4183 5.6522
2.0943 1.2091 1.9417
0.0000 2.4183 1.8246
2.0943 1.2091 5.7693
```